VASP calculation (PBE) on an optimized crystal structure of Ti3CdO.

```
data_Ti3CdO
_chemical_formula_sum 'Ti3 Cd1 O1'
_cell_length_a 4.1930
_cell_length_b 4.1930
_cell_length_c 4.1930
_cell_angle_alpha 90.00
_cell_angle_beta 90.00
_cell_angle_gamma 90.00
_space_group_name_H-M_alt 'P m -3 m'
_space_group_IT_number 221
_space_group_name_Hall '-P 4 2 3'
loop_
_atom_site_label
_atom_site_type_symbol
_atom_site_fract_x
_atom_site_fract_y
_atom_site_fract_z
_atom_site_occupancy
Ti1 Ti 0.0000 0.0000 0.5000 1
Cd1 Cd 0.5000 0.5000 0.5000 1
O1 O 0.0000 0.0000 0.0000 1
```

The uncorrected formation energy is -509 kJ/mol of formula units. For the final energy, the calculation gives -6.966 eV/atom.